No. 1
# SrIn3Rh2

An optimized crystal structure of SrIn3Rh2 (GGA-PBE, Alexandria).

Summary:
* total magnetization: 0.00 μB/atom
* DFT formation energy: -191 meV per atom

Cell lengths 6.7262, 6.7262, 21.1370 Å; angles 90.00, 90.00, 120.00 degrees
Space group R-3m (No. 166, hexagonal axes)
Unique sites:
Sr1 0.0000 0.0000 0.2258
In1 0.0091 0.5045 0.2421
Rh1 0.0000 0.0000 0.0000
Rh2 0.0000 0.5000 0.0000

***

No. 2
# ZnRhW

An optimized crystal structure of ZnRhW (GGA-PBE, Alexandria).

Summary:
* total magnetization: 0.00 μB/atom
* DFT formation energy: -217 meV per atom
* relative energy among the computed polymorphs: 0.0 meV per atom

Cell lengths 2.812, 2.812, 11.240 Å; angles 90.00, 90.00, 90.00 degrees
Space group P4/nmm (No. 129, origin choice 2)
Unique sites:
Zn1 0.250 0.250 0.085
Rh1 0.250 0.250 0.759
W1 0.250 0.250 0.404

***

- Which formula does entry 2 have?
  ZnRhW

***

- What is the formula in the second record?
  ZnRhW